A relaxed structure of HfZrGa2, computed with PBE.

Lattice parameters (Å, degrees): 6.7461 6.7461 6.7461 90.00 90.00 90.00
With the nearest neighbours (Å) after each atom.
Space group F-43m (No. 216)
Unique sites:
Hf1 0.0000 0.0000 0.0000 x4  4 Zr 2.92, 4 Ga 2.92
Zr1 0.2500 0.2500 0.2500 x4  4 Hf 2.92, 4 Ga 2.92
Ga1 0.0000 0.0000 0.5000 x4  4 Ga 2.92, 4 Zr 2.92
Ga2 0.2500 0.2500 0.7500 x4  4 Hf 2.92, 4 Ga 2.92

Total moment = 0.0 μB per formula unit
Energy above the most stable polymorph in this dataset = 2.919 eV per formula unit